This record from Alexandria describes a relaxed CrInP4 crystal. The functional is GGA-PBEsol.

Results
**Energy relative to the elements**: 0.606 eV/atom
**Calculated volume**: 96.80 Å³/f.u.
**Total energy**: -32.753 eV/cell
**Total magnetic moment**: 3.91 Bohr magnetons per cell
**ρ**: 4.987 g cm⁻³
**Density of states at the Fermi level**: 3.632 states/eV/cell

abc: 5.154 5.154 5.154
angles: 60.00 60.00 60.00
Element x y z (fractional)
Cr  0.750  0.750  0.750
In  0.000  0.000  0.000
P  0.376  0.376  0.376
P  0.376  0.376  0.873
P  0.873  0.376  0.376
P  0.376  0.873  0.376